#w
The following is a GGA-PBE calculation of an optimized crystal structure of Er3Sb2P, from Alexandria via LeMat-Bulk.

Lattice parameters (Å, degrees): 8.4865 11.9619 25.2055 90.00 90.00 90.00
Closest atoms and distances in Å follow each position.
Space group Fddd (No. 70, origin choice 2)
Symmetry-distinct sites (fractional):
Er1 0.1024 0.3750 0.3750 (multiplicity 16)  2 P 2.85, 4 Sb 3.00-3.08
Er2 0.1156 0.3664 0.2125 (multiplicity 32)  2 P 2.85-2.89, 4 Sb 3.02-3.10
Sb1 0.1250 0.1250 0.3769 (multiplicity 16)  6 Er 3.00-3.09
Sb2 0.1250 0.1250 0.5444 (multiplicity 16)  6 Er 3.02-3.10
P1 0.1250 0.1250 0.0416 (multiplicity 16)  6 Er 2.85-2.89

#x
The following is a GGA-PBE calculation of an optimized crystal structure of Er3Sb2P, from Alexandria via LeMat-Bulk.

Lattice parameters (Å, degrees): 7.3883 12.6651 7.2639 90.00 109.27 90.00
Closest atoms and distances in Å follow each position.
Space group C2/c (No. 15)
Symmetry-distinct sites (fractional):
Er1 0.2234 0.0760 0.4965 (multiplicity 8)  2 P 2.85-2.86, 4 Sb 3.02-3.13
Er2 0.2500 0.2500 0.0000 (multiplicity 4)  2 P 2.97, 4 Sb 2.99-3.00
Sb1 0.0000 0.2568 0.2500 (multiplicity 4)  6 Er 2.99-3.09
Sb2 0.0000 0.4179 0.7500 (multiplicity 4)  6 Er 3.00-3.13
P1 0.0000 0.0854 0.7500 (multiplicity 4)  6 Er 2.85-2.97

Relative energy table, unit kJ/mol of atoms: #w 0.0; #x 1.4

#w
The following is a GGA-PBE calculation of an optimized crystal structure of ErSc2P, from Alexandria via LeMat-Bulk.

Lattice parameters (Å, degrees): 3.5946 3.5946 26.2874 90.00 90.00 120.00
Closest atoms and distances in Å follow each position.
Space group R-3m (No. 166, hexagonal axes)
Symmetry-distinct sites (fractional):
Er1 0.0000 0.0000 0.0000 (multiplicity 3)  6 Sc 3.54, 6 Er 3.59
Sc1 0.0000 0.0000 0.2240 (multiplicity 6)  3 P 2.57
P1 0.0000 0.0000 0.5000 (multiplicity 3)  6 Sc 2.57

#x
The following is a GGA-PBE calculation of an optimized crystal structure of ErSc2P, from Alexandria via LeMat-Bulk.

Lattice parameters (Å, degrees): 7.0366 8.5742 5.7943 90.00 90.00 90.00
Closest atoms and distances in Å follow each position.
Space group Pnma (No. 62)
Symmetry-distinct sites (fractional):
Er1 0.0226 0.2500 0.1277 (multiplicity 4)  2 P 2.82-2.87
Sc1 0.1771 0.0512 0.6397 (multiplicity 8)  3 P 2.71-2.94
P1 0.1195 0.7500 0.4077 (multiplicity 4)  6 Sc 2.71-2.94, 2 Er 2.82-2.87

Relative energy table, unit kJ/mol of atoms: #w 14.3; #x 0.0

#w
The following is a GGA-PBE calculation of an optimized crystal structure of Er2PSe, from Alexandria via LeMat-Bulk.

Lattice parameters (Å, degrees): 3.9821 3.9821 19.8963 90.00 90.00 120.00
Closest atoms and distances in Å follow each position.
Space group R-3m (No. 166, hexagonal axes)
Symmetry-distinct sites (fractional):
Er1 0.0000 0.0000 0.2424 (multiplicity 6)  3 P 2.75, 3 Se 2.93
P1 0.0000 0.0000 0.5000 (multiplicity 3)  6 Er 2.75
Se1 0.0000 0.0000 0.0000 (multiplicity 3)  6 Er 2.93

#x
The following is a GGA-PBE calculation of an optimized crystal structure of Er2PSe, from Alexandria via LeMat-Bulk.

Lattice parameters (Å, degrees): 3.9281 3.9281 20.7101 90.00 90.00 120.00
Closest atoms and distances in Å follow each position.
Space group R3m (No. 160, hexagonal axes)
Symmetry-distinct sites (fractional):
Er1 0.0000 0.0000 0.0000 (multiplicity 3)  3 P 2.72, 3 Se 2.96
Er2 0.0000 0.0000 0.1853 (multiplicity 3)  3 P 2.76, 3 Se 2.99
P1 0.0000 0.0000 0.5943 (multiplicity 3)  6 Er 2.72-2.76
Se1 0.0000 0.0000 0.4248 (multiplicity 3)  6 Er 2.96-2.99

Relative energy table, unit kJ/mol of atoms: #w 0.0; #x 6.1

#w
The following is a GGA-PBE calculation of an optimized crystal structure of Er4P3Se, from Alexandria via LeMat-Bulk.

Lattice parameters (Å, degrees): 5.6331 5.6331 11.2728 90.00 90.00 90.00
Closest atoms and distances in Å follow each position.
Space group I4/mmm (No. 139)
Symmetry-distinct sites (fractional):
Er1 0.0000 0.0000 0.2425 (multiplicity 4)  5 P 2.73-2.82, 1 Se 2.90
Er2 0.0000 0.5000 0.0000 (multiplicity 4)  2 Se 2.82, 4 P 2.82
P1 0.0000 0.0000 0.0000 (multiplicity 2)  6 Er 2.73-2.82
P2 0.0000 0.5000 0.2500 (multiplicity 4)  6 Er 2.82
Se1 0.0000 0.0000 0.5000 (multiplicity 2)  6 Er 2.82-2.90

#x
The following is a GGA-PBE calculation of an optimized crystal structure of Er4P3Se, from Alexandria via LeMat-Bulk.

Lattice parameters (Å, degrees): 5.6325 5.6325 5.6325 90.00 90.00 90.00
Closest atoms and distances in Å follow each position.
Space group Pm-3m (No. 221)
Symmetry-distinct sites (fractional):
Er1 0.0000 0.0000 0.0000 (multiplicity 1)  6 P 2.82
Er2 0.0000 0.5000 0.5000 (multiplicity 3)  2 Se 2.82, 4 P 2.82
P1 0.0000 0.0000 0.5000 (multiplicity 3)  6 Er 2.82
Se1 0.5000 0.5000 0.5000 (multiplicity 1)  6 Er 2.82

Relative energy table, unit kJ/mol of atoms: #w 0.0; #x 1.5

#w
The following is a GGA-PBE calculation of an optimized crystal structure of Er2SiP, from Alexandria via LeMat-Bulk.

Lattice parameters (Å, degrees): 3.8845 3.8845 20.9895 90.00 90.00 120.00
Closest atoms and distances in Å follow each position.
Space group R-3m (No. 166, hexagonal axes)
Symmetry-distinct sites (fractional):
Er1 0.0000 0.0000 0.2443 (multiplicity 6)  3 P 2.77, 3 Si 2.92
Si1 0.0000 0.0000 0.0000 (multiplicity 3)  6 Er 2.92
P1 0.0000 0.0000 0.5000 (multiplicity 3)  6 Er 2.77

#x
The following is a GGA-PBE calculation of an optimized crystal structure of Er2SiP, from Alexandria via LeMat-Bulk.

Lattice parameters (Å, degrees): 4.1069 21.9230 3.8627 90.00 90.00 90.00
Closest atoms and distances in Å follow each position.
Space group Cmcm (No. 63)
Symmetry-distinct sites (fractional):
Er1 0.0000 0.0665 0.2500 (multiplicity 4)  1 P 2.67, 4 Si 2.89
Er2 0.0000 0.3134 0.2500 (multiplicity 4)  5 P 2.74-2.82
Si1 0.0000 0.4627 0.2500 (multiplicity 4)  2 Si 2.53
P1 0.0000 0.1883 0.2500 (multiplicity 4)  6 Er 2.67-2.82

Relative energy table, unit kJ/mol of atoms: #w 15.3; #x 0.0

#w
The following is a GGA-PBE calculation of an optimized crystal structure of ErThP2, from Alexandria via LeMat-Bulk.

Lattice parameters (Å, degrees): 4.0473 4.0473 13.3284 90.00 90.00 120.00
Closest atoms and distances in Å follow each position.
Space group P6_3/mmc (No. 194)
Symmetry-distinct sites (fractional):
Er1 0.3333 0.6667 0.2500 (multiplicity 2)  6 P 2.85
Th1 0.0000 0.0000 0.0000 (multiplicity 2)  6 P 2.89
P1 0.3333 0.6667 0.6279 (multiplicity 4)  3 Er 2.85, 3 Th 2.89

#x
The following is a GGA-PBE calculation of an optimized crystal structure of ErThP2, from Alexandria via LeMat-Bulk.

Lattice parameters (Å, degrees): 3.9713 3.9713 21.0348 90.00 90.00 120.00
Closest atoms and distances in Å follow each position.
Space group R3m (No. 160, hexagonal axes)
Symmetry-distinct sites (fractional):
Er1 0.0000 0.0000 0.0000 (multiplicity 3)  6 P 2.78-2.88
Th1 0.0000 0.0000 0.8276 (multiplicity 3)  6 P 2.92-2.97
P1 0.0000 0.0000 0.4084 (multiplicity 3)  3 Er 2.78, 3 Th 2.92
P2 0.0000 0.0000 0.5841 (multiplicity 3)  3 Er 2.88, 3 Th 2.97

#y
The following is a GGA-PBE calculation of an optimized crystal structure of ErThP2, from Alexandria via LeMat-Bulk.

Lattice parameters (Å, degrees): 4.0705 4.0705 19.7368 90.00 90.00 120.00
Closest atoms and distances in Å follow each position.
Space group R-3m (No. 166, hexagonal axes)
Symmetry-distinct sites (fractional):
Er1 0.0000 0.0000 0.0000 (multiplicity 3)  6 P 2.83
Th1 0.0000 0.0000 0.5000 (multiplicity 3)  6 P 2.91
P1 0.0000 0.0000 0.2534 (multiplicity 6)  3 Er 2.83, 3 Th 2.91

Relative energy table, unit kJ/mol of atoms: #w 5.6; #x 14.7; #y 0.0

#w
The following is a GGA-PBE calculation of an optimized crystal structure of ErTiP2, from Alexandria via LeMat-Bulk.

Lattice parameters (Å, degrees): 3.6739 3.6739 19.1701 90.00 90.00 120.00
Closest atoms and distances in Å follow each position.
Space group R3m (No. 160, hexagonal axes)
Symmetry-distinct sites (fractional):
Er1 0.0000 0.0000 0.0000 (multiplicity 3)  6 P 2.74-2.83
Ti1 0.0000 0.0000 0.1748 (multiplicity 3)  6 P 2.49-2.59
P1 0.0000 0.0000 0.5762 (multiplicity 3)  3 Ti 2.49, 3 Er 2.74
P2 0.0000 0.0000 0.7642 (multiplicity 3)  3 Ti 2.59, 3 Er 2.83

#x
The following is a GGA-PBE calculation of an optimized crystal structure of ErTiP2, from Alexandria via LeMat-Bulk.

Lattice parameters (Å, degrees): 3.7233 3.7233 18.4142 90.00 90.00 120.00
Closest atoms and distances in Å follow each position.
Space group R-3m (No. 166, hexagonal axes)
Symmetry-distinct sites (fractional):
Er1 0.0000 0.0000 0.0000 (multiplicity 3)  6 P 2.74
Ti1 0.0000 0.0000 0.5000 (multiplicity 3)  6 P 2.55
P1 0.0000 0.0000 0.2407 (multiplicity 6)  3 Ti 2.55, 3 Er 2.74

Relative energy table, unit kJ/mol of atoms: #w 10.1; #x 0.0

#w
The following is a GGA-PBE calculation of an optimized crystal structure of ErTmP2, from Alexandria via LeMat-Bulk.

Lattice parameters (Å, degrees): 3.9222 3.9222 20.1889 90.00 90.00 120.00
Closest atoms and distances in Å follow each position.
Space group R3m (No. 160, hexagonal axes)
Symmetry-distinct sites (fractional):
Er1 0.0000 0.0000 0.0000 (multiplicity 3)  6 P 2.78-2.84
Tm1 0.0000 0.0000 0.8287 (multiplicity 3)  6 P 2.80-2.86
P1 0.0000 0.0000 0.4134 (multiplicity 3)  3 Er 2.78, 3 Tm 2.80
P2 0.0000 0.0000 0.5815 (multiplicity 3)  3 Er 2.84, 3 Tm 2.86

#x
The following is a GGA-PBE calculation of an optimized crystal structure of ErTmP2, from Alexandria via LeMat-Bulk.

Lattice parameters (Å, degrees): 7.9159 15.8296 6.8561 90.00 125.26 90.00
Closest atoms and distances in Å follow each position.
Space group C2/c (No. 15)
Symmetry-distinct sites (fractional):
Er1 0.0000 0.0623 0.2500 (multiplicity 4)  6 P 2.80
Er2 0.0000 0.1874 0.7500 (multiplicity 4)  6 P 2.80
Tm1 0.0000 0.3123 0.2500 (multiplicity 4)  6 P 2.79-2.80
Tm2 0.0000 0.4374 0.7500 (multiplicity 4)  6 P 2.79-2.80
P1 0.2485 0.4375 0.2490 (multiplicity 8)  3 Tm 2.79, 3 Er 2.80
P2 0.2504 0.1875 0.2509 (multiplicity 8)  3 Tm 2.79-2.80, 3 Er 2.80

Relative energy table, unit kJ/mol of atoms: #w 16.6; #x 0.0